A plane-wave DFT calculation with GGA-PBE was carried out for a relaxed structure of Ho3MgPb12.

The structure in POSCAR format:
```
Ho3MgPb12
1.0
4.827 0.000 0.000
0.000 4.827 0.000
0.000 0.000 19.911
Ho Mg Pb
3 1 12
direct
0.000 0.000 0.000
0.000 0.000 0.243
0.000 0.000 0.757
0.000 0.000 0.500
0.000 0.500 0.124
0.000 0.500 0.376
0.000 0.500 0.624
0.000 0.500 0.876
0.500 0.000 0.124
0.500 0.000 0.376
0.500 0.000 0.624
0.500 0.000 0.876
0.500 0.500 0.000
0.500 0.500 0.251
0.500 0.500 0.500
0.500 0.500 0.749
```

Computed properties:
Space group ... P4/mmm (123)
Crystal system ... tetragonal

A plane-wave DFT calculation with GGA-PBE was carried out for a relaxed structure of Ho2Mg2Pb7.

The structure in POSCAR format:
```
Ho2Mg2Pb7
1.0
5.166 -4.296 0.000
5.166 4.296 0.000
-0.013 0.000 7.877
Ho Mg Pb
2 2 7
direct
0.198 0.198 0.000
0.802 0.802 0.000
0.328 0.672 0.500
0.672 0.328 0.500
0.000 0.000 0.304
0.000 0.000 0.696
0.001 0.500 0.709
0.500 0.001 0.709
0.500 0.500 0.000
0.500 0.999 0.291
0.999 0.500 0.291
```

Computed properties:
Space group ... C2/m (12)
Crystal system ... monoclinic

A plane-wave DFT calculation with GGA-PBE was carried out for a relaxed structure of Ho2Mg3Pb3.

The structure in POSCAR format:
```
Ho2Mg3Pb3
1.0
4.696 0.000 0.000
0.000 4.847 0.000
0.000 0.000 9.071
Ho Mg Pb
2 3 3
direct
0.000 0.000 0.247
0.000 0.000 0.753
0.000 0.500 0.500
0.500 0.500 0.259
0.500 0.500 0.741
0.000 0.500 0.000
0.500 0.000 0.000
0.500 0.000 0.500
```

Computed properties:
Space group ... Pmmm (47)
Crystal system ... orthorhombic

| no. | DFT formation energy (meV per atom) | magnetization (μB per formula unit) |
| --- | --- | --- |
| 1 | -190 | 0.0 |
| 2 | 43 | 0.0 |
| 3 | -291 | 0.0 |